# 1
PBE RbVZn, relaxed; distance to the lowest polymorph of the same formula = 0.063 eV per atom; uncorrected energy = -20.03 eV/cell; energy of formation from the pure elements = 0.45 eV per atom
1.0
3.872 -2.242 0.000
3.872 2.242 0.000
-3.542 0.000 11.876
Rb V Zn
2 2 2
Direct
0.000 0.000 0.000
0.707 0.707 0.364
0.152 0.152 0.602
0.225 0.225 0.761
0.522 0.522 0.682
0.855 0.855 0.682

=====

# 2
PBE RbV3Zn, relaxed; distance to the lowest polymorph of the same formula = 1.052 eV per atom; uncorrected energy = -16.97 eV/cell; energy of formation from the pure elements = 2.53 eV per atom
1.0
4.479 0.000 0.000
0.000 4.479 0.000
0.000 0.000 4.479
Rb V Zn
1 3 1
Direct
0.000 0.000 0.000
0.000 0.000 0.500
0.000 0.500 0.000
0.500 0.000 0.000
0.500 0.500 0.500

=====

# 3
PBE RbVZn, relaxed; distance to the lowest polymorph of the same formula = 0.393 eV per atom; uncorrected energy = -18.05 eV/cell; energy of formation from the pure elements = 0.78 eV per atom
1.0
5.094 0.000 0.000
0.000 5.094 0.000
0.000 0.000 7.864
Rb V Zn
2 2 2
Direct
0.250 0.250 0.144
0.750 0.750 0.856
0.250 0.250 0.568
0.750 0.750 0.432
0.250 0.750 0.500
0.750 0.250 0.500

=====

# 4
PBE RbVZn3, relaxed; distance to the lowest polymorph of the same formula = 0.000 eV per atom; uncorrected energy = -11.53 eV/cell; energy of formation from the pure elements = 0.48 eV per atom
1.0
5.190 0.000 0.000
0.000 5.190 0.000
0.000 0.000 5.190
Rb V Zn
1 1 3
Direct
0.000 0.000 0.000
0.500 0.500 0.500
0.000 0.500 0.500
0.500 0.000 0.500
0.500 0.500 0.000